[1]
Nb3V2 (PBE-GGA, relaxed); DFT total energy = -9.374 eV/atom; D(E_F) = 1.296 states/eV per atom
1.0
0.000 8.919 2.383
4.033 0.000 2.383
4.033 8.919 0.000
Nb V
6 4
Direct
0.000 0.000 0.000 Nb
0.250 0.250 0.250 Nb
0.277 0.725 0.613 Nb
0.637 0.865 0.973 Nb
0.725 0.277 0.385 Nb
0.865 0.637 0.525 Nb
0.384 0.566 0.790 V
0.460 0.989 0.866 V
0.566 0.384 0.261 V
0.989 0.460 0.684 V

[2]
ZrAl6Zn (PBE-GGA, relaxed); DFT total energy = -4.182 eV/atom; D(E_F) = 0.350 states/eV per atom
1.0
3.071 -4.739 0.000
3.071 4.739 0.000
0.000 0.000 4.720
Zr Al Zn
1 6 1
Direct
0.000 0.000 0.000 Zr
0.000 0.500 0.000 Al
0.222 0.778 0.500 Al
0.290 0.290 0.500 Al
0.500 0.000 0.000 Al
0.710 0.710 0.500 Al
0.778 0.222 0.500 Al
0.500 0.500 0.000 Zn

[3]
TlCuSe (PBE-GGA, relaxed); DFT total energy = -3.546 eV/atom; formation energy (no corrections) = -0.690 eV per formula unit; D(E_F) = 0.000 states/eV per atom
1.0
4.105 0.000 0.000
0.000 5.563 0.000
-2.006 0.000 6.506
Tl Cu Se
2 2 2
Direct
0.093 0.000 0.172 Tl
0.907 0.500 0.828 Tl
0.223 0.413 0.444 Cu
0.777 0.913 0.556 Cu
0.342 0.087 0.691 Se
0.658 0.587 0.309 Se

[4]
KCeNd2Se4 (PBE-GGA, relaxed); DFT total energy = -5.559 eV/atom; formation energy (no corrections) = -13.971 eV per formula unit; D(E_F) = 1.051 states/eV per atom
1.0
7.471 0.000 0.000
0.000 4.257 0.000
-2.418 0.000 7.108
K Ce Nd Se
1 1 2 4
Direct
0.000 0.000 0.000 K
0.500 0.500 0.000 Ce
0.000 0.500 0.500 Nd
0.500 0.000 0.500 Nd
0.255 0.000 0.746 Se
0.264 0.500 0.264 Se
0.736 0.500 0.736 Se
0.745 0.000 0.254 Se

[5]
Pr3Ru2 (PBE-GGA, relaxed); DFT total energy = -6.621 eV/atom; E above lowest polymorph = 16 meV/atom; D(E_F) = 0.478 states/eV per atom
1.0
3.570 2.061 6.397
-3.570 2.061 6.397
0.000 -4.122 6.397
Pr Ru
6 4
Direct
0.091 0.750 0.409 Pr
0.250 0.591 0.909 Pr
0.409 0.091 0.750 Pr
0.591 0.909 0.250 Pr
0.750 0.409 0.091 Pr
0.909 0.250 0.591 Pr
0.171 0.171 0.171 Ru
0.329 0.329 0.329 Ru
0.671 0.671 0.671 Ru
0.829 0.829 0.829 Ru

[6]
AcYAgSn (PBE-GGA, relaxed); DFT total energy = -4.815 eV/atom; D(E_F) = 1.059 states/eV per atom
1.0
0.000 3.887 3.887
3.887 0.000 3.887
3.887 3.887 0.000
Ac Y Ag Sn
1 1 1 1
Direct
0.000 0.000 0.000 Ac
0.500 0.500 0.500 Y
0.250 0.250 0.250 Ag
0.750 0.750 0.750 Sn

[7]
Nd12Tl5Ag2 (PBE-GGA, relaxed); DFT total energy = -4.070 eV/atom; D(E_F) = 1.121 states/eV per atom
1.0
8.804 -3.728 0.000
8.804 3.728 0.000
-0.994 0.000 9.284
Nd Tl Ag
12 5 2
Direct
0.002 0.002 0.194 Nd
0.094 0.582 0.573 Nd
0.098 0.601 0.992 Nd
0.399 0.902 0.008 Nd
0.418 0.906 0.427 Nd
0.461 0.461 0.313 Nd
0.539 0.539 0.687 Nd
0.582 0.094 0.573 Nd
0.601 0.098 0.992 Nd
0.902 0.399 0.008 Nd
0.906 0.418 0.427 Nd
0.998 0.998 0.806 Nd
0.200 0.200 0.738 Tl
0.272 0.272 0.249 Tl
0.500 0.500 0.000 Tl
0.728 0.728 0.751 Tl
0.800 0.800 0.262 Tl
0.179 0.821 0.500 Ag
0.821 0.179 0.500 Ag

[8]
MgFe2Br (PBE-GGA, relaxed); DFT total energy = -4.921 eV/atom; E above lowest polymorph = 14 meV/atom; formation energy (no corrections) = 0.508 eV per formula unit; D(E_F) = 0.377 states/eV per atom
1.0
3.221 0.000 0.000
0.000 3.221 0.000
0.000 0.000 7.570
Mg Fe Br
1 2 1
Direct
0.000 0.000 0.000 Mg
0.000 0.000 0.645 Fe
0.500 0.500 0.768 Fe
0.500 0.500 0.206 Br

[9]
Mg7Hg (PBE-GGA, relaxed); DFT total energy = -1.491 eV/atom; E above lowest polymorph = 0 meV/atom; D(E_F) = 0.501 states/eV per atom
1.0
-2.210 2.210 9.136
2.210 -2.210 9.136
2.210 2.210 -9.136
Mg Hg
7 1
Direct
0.000 0.000 0.000 Mg
0.122 0.622 0.500 Mg
0.248 0.248 0.000 Mg
0.378 0.878 0.500 Mg
0.622 0.122 0.500 Mg
0.752 0.752 0.000 Mg
0.878 0.378 0.500 Mg
0.500 0.500 0.000 Hg

[10]
Pm3TlNi2 (PBE-GGA, relaxed); DFT total energy = -4.845 eV/atom; D(E_F) = 1.025 states/eV per atom
1.0
4.185 2.416 5.149
-4.185 2.416 5.149
0.000 -4.833 5.149
Pm Tl Ni
6 2 4
Direct
0.054 0.750 0.446 Pm
0.250 0.554 0.946 Pm
0.446 0.054 0.750 Pm
0.554 0.946 0.250 Pm
0.750 0.446 0.054 Pm
0.946 0.250 0.554 Pm
0.000 0.000 0.000 Tl
0.500 0.500 0.500 Tl
0.171 0.171 0.171 Ni
0.329 0.329 0.329 Ni
0.671 0.671 0.671 Ni
0.829 0.829 0.829 Ni

[11]
Ca4MgBe (PBE-GGA, relaxed); DFT total energy = -1.527 eV/atom; D(E_F) = 1.146 states/eV per atom
1.0
0.000 4.749 4.749
4.749 0.000 4.749
4.749 4.749 0.000
Ca Mg Be
4 1 1
Direct
0.125 0.125 0.125 Ca
0.125 0.125 0.624 Ca
0.125 0.624 0.125 Ca
0.624 0.125 0.125 Ca
0.750 0.750 0.750 Mg
0.500 0.500 0.500 Be

Number 1: calculated volume 17.143 A^3/atom. Number 2: calculated volume 17.176 A^3/atom. Number 3: calculated volume 24.765 A^3/atom. Number 4: calculated volume 28.256 A^3/atom. Number 5: calculated volume 28.241 A^3/atom. Number 6: calculated volume 29.356 A^3/atom. Number 7: calculated volume 32.074 A^3/atom. Number 8: calculated volume 19.635 A^3/atom. Number 9: calculated volume 22.309 A^3/atom. Number 10: calculated volume 26.035 A^3/atom. Number 11: calculated volume 35.697 A^3/atom.